[1]
## Mg2TlOs (GGA-PBE)

Data for a relaxed Mg2TlOs crystal.

Computed properties:
The formation energy is 143.9 kJ/mol of formula units. As for the polymorph energy (0 for the lowest one): 145.5 meV per atom.

a b c (Å): 6.652 6.652 6.652
angles (deg): 90.00 90.00 90.00
Space group F-43m (No. 216)
One atom of each set of equivalent atoms:
Mg  0.000  0.000  0.000
Mg  0.250  0.250  0.250
Tl  0.000  0.000  0.500
Os  0.250  0.250  0.750


[2]
## MgTlOs (GGA-PBE)

Data for a relaxed MgTlOs crystal.

Computed properties:
The formation energy is 154.8 kJ/mol of formula units. As for the polymorph energy (0 for the lowest one): 0.0 meV per atom.

a b c (Å): 3.389 3.389 9.512
angles (deg): 90.00 90.00 90.00
Space group I4mm (No. 107)
One atom of each set of equivalent atoms:
Mg  0.000  0.000  0.000
Tl  0.000  0.000  0.691
Os  0.000  0.000  0.361


[3]
## Mg2TlOs (GGA-PBE)

Data for a relaxed Mg2TlOs crystal.

Computed properties:
The formation energy is 106.9 kJ/mol of formula units. As for the polymorph energy (0 for the lowest one): 49.8 meV per atom.

a b c (Å): 10.061 3.626 4.433
angles (deg): 90.00 116.05 90.00
Space group Cm (No. 8)
One atom of each set of equivalent atoms:
Mg  0.000  0.000  0.000
Mg  0.238  0.000  0.738
Tl  0.483  0.000  0.483
Os  0.235  0.500  0.235